# LiNpCr2O8 PBE with a Hubbard U relaxed
# - DOS(E_F): 0.1874 states/eV per atom
# - DFT total energy: -182.61 eV for the cell shown
data_LiNpCr2O8
_chemical_formula_sum 'Li2 Np2 Cr4 O16'
_cell_length_a 6.8789
_cell_length_b 6.8789
_cell_length_c 6.4431
_cell_angle_alpha 90.00
_cell_angle_beta 90.00
_cell_angle_gamma 90.00
_space_group_name_H-M_alt 'I -4 m 2'
_space_group_IT_number 119
_space_group_name_Hall 'I -4 -2'
loop_
_atom_site_label
_atom_site_fract_x
_atom_site_fract_y
_atom_site_fract_z
Li1 0.0000 0.0000 0.0000
Np1 0.0000 0.5000 0.2500
Cr1 0.0000 0.0000 0.5000
Cr2 0.0000 0.5000 0.7500
O1 0.0000 0.2073 0.3227
O2 0.0000 0.3112 0.9123